[1]
An optimized crystal structure of LaNd4S6, computed with PBE.

E_form (uncorrected) ... -2072.1 meV/atom

The structure in CIF format:
```
data_LaNd4S6
_chemical_formula_sum 'La2 Nd8 S12'
_cell_length_a 4.022
_cell_length_b 7.004
_cell_length_c 20.446
_cell_angle_alpha 90.00
_cell_angle_beta 90.00
_cell_angle_gamma 106.68
_symmetry_space_group_name_H-M 'P 1'
_symmetry_Int_Tables_number 1
loop_
_symmetry_equiv_pos_as_xyz
'x,y,z'
loop_
_atom_site_label
_atom_site_fract_x
_atom_site_fract_y
_atom_site_fract_z
S1 0.049 0.098 0.332
Nd1 0.139 0.279 0.459
Nd2 0.592 0.184 0.628
S2 0.692 0.383 0.750
S3 0.049 0.098 0.168
S4 0.951 0.902 0.668
S5 0.500 0.000 0.500
S6 0.769 0.537 0.409
Nd3 0.861 0.721 0.541
S7 0.500 0.000 0.000
La1 0.344 0.688 0.750
S8 0.769 0.537 0.091
S9 0.231 0.463 0.591
Nd4 0.139 0.279 0.041
Nd5 0.861 0.721 0.959
S10 0.231 0.463 0.909
Nd6 0.408 0.816 0.372
La2 0.656 0.312 0.250
Nd7 0.592 0.184 0.872
S11 0.951 0.902 0.832
S12 0.308 0.617 0.250
Nd8 0.408 0.816 0.128
```

[2]
An optimized crystal structure of LaCrTe2, computed with PBE.

E_form (uncorrected) ... -719.2 meV/atom
Polymorph energy (0 for the lowest one) ... 6.2 kJ/mol of atoms

The structure in CIF format:
```
data_LaCrTe2
_chemical_formula_sum 'La1 Cr1 Te2'
_cell_length_a 4.447
_cell_length_b 4.447
_cell_length_c 6.295
_cell_angle_alpha 90.00
_cell_angle_beta 90.00
_cell_angle_gamma 90.00
_symmetry_space_group_name_H-M 'P 1'
_symmetry_Int_Tables_number 1
loop_
_symmetry_equiv_pos_as_xyz
'x,y,z'
loop_
_atom_site_label
_atom_site_fract_x
_atom_site_fract_y
_atom_site_fract_z
Te1 0.500 0.500 0.370
La1 0.500 0.500 0.866
Cr1 0.000 0.000 0.385
Te2 0.000 0.000 0.879
```

[3]
An optimized crystal structure of CsNaLa2, computed with PBE.

Energy of formation from the pure elements ... 598 meV per atom

The structure in CIF format:
```
data_CsNaLa2
_chemical_formula_sum 'Cs1 Na1 La2'
_cell_length_a 6.093
_cell_length_b 6.093
_cell_length_c 6.093
_cell_angle_alpha 60.00
_cell_angle_beta 60.00
_cell_angle_gamma 60.00
_symmetry_space_group_name_H-M 'P 1'
_symmetry_Int_Tables_number 1
loop_
_symmetry_equiv_pos_as_xyz
'x,y,z'
loop_
_atom_site_label
_atom_site_fract_x
_atom_site_fract_y
_atom_site_fract_z
Na1 0.000 0.000 0.000
La1 0.250 0.250 0.250
La2 0.750 0.750 0.750
Cs1 0.500 0.500 0.500
```

[4]
An optimized crystal structure of Er2TmTh5, computed with PBE.

Energy of formation from the pure elements ... 48 meV per atom

The structure in CIF format:
```
data_Er2TmTh5
_chemical_formula_sum 'Er4 Tm2 Th10'
_cell_length_a 5.012
_cell_length_b 7.109
_cell_length_c 14.252
_cell_angle_alpha 90.00
_cell_angle_beta 90.00
_cell_angle_gamma 90.00
_symmetry_space_group_name_H-M 'P 1'
_symmetry_Int_Tables_number 1
loop_
_symmetry_equiv_pos_as_xyz
'x,y,z'
loop_
_atom_site_label
_atom_site_fract_x
_atom_site_fract_y
_atom_site_fract_z
Th1 0.000 0.000 0.750
Er1 0.500 0.250 0.125
Tm1 0.000 0.000 0.500
Th2 0.000 0.500 0.250
Er2 0.500 0.750 0.875
Th3 0.000 0.000 0.250
Er3 0.500 0.750 0.375
Th4 0.500 0.253 0.373
Th5 0.000 0.000 0.000
Er4 0.500 0.250 0.625
Th6 0.000 0.500 0.500
Th7 0.500 0.753 0.127
Th8 0.500 0.747 0.627
Th9 0.000 0.500 0.750
Th10 0.500 0.247 0.873
Tm2 0.000 0.500 0.000
```

[5]
An optimized crystal structure of Ca5MgAs4, computed with PBE.

Polymorph energy (0 for the lowest one) ... 4.4 kJ/mol of atoms
Energy of formation from the pure elements ... -948 meV per atom

The structure in CIF format:
```
data_Ca5MgAs4
_chemical_formula_sum 'Ca5 Mg1 As4'
_cell_length_a 4.384
_cell_length_b 8.116
_cell_length_c 8.116
_cell_angle_alpha 73.81
_cell_angle_beta 74.33
_cell_angle_gamma 74.33
_symmetry_space_group_name_H-M 'P 1'
_symmetry_Int_Tables_number 1
loop_
_symmetry_equiv_pos_as_xyz
'x,y,z'
loop_
_atom_site_label
_atom_site_fract_x
_atom_site_fract_y
_atom_site_fract_z
As1 0.015 0.235 0.235
Ca1 0.907 0.031 0.655
Mg1 0.250 0.000 0.000
As2 0.250 0.723 0.277
Ca2 0.907 0.655 0.031
Ca3 0.593 0.345 0.969
As3 0.485 0.765 0.765
As4 0.250 0.277 0.723
Ca4 0.593 0.969 0.345
Ca5 0.750 0.500 0.500
```

[6]
An optimized crystal structure of MnTl2AuCl6, computed with PBE.

E_form (uncorrected) ... -843.5 meV/atom

The structure in CIF format:
```
data_MnTl2AuCl6
_chemical_formula_sum 'Mn1 Tl2 Au1 Cl6'
_cell_length_a 7.553
_cell_length_b 7.749
_cell_length_c 7.125
_cell_angle_alpha 62.45
_cell_angle_beta 61.45
_cell_angle_gamma 56.49
_symmetry_space_group_name_H-M 'P 1'
_symmetry_Int_Tables_number 1
loop_
_symmetry_equiv_pos_as_xyz
'x,y,z'
loop_
_atom_site_label
_atom_site_fract_x
_atom_site_fract_y
_atom_site_fract_z
Cl1 0.631 0.087 0.792
Cl2 0.140 0.064 0.264
Mn1 0.320 0.304 0.050
Cl3 0.554 0.141 0.256
Cl4 0.111 0.586 0.202
Cl5 0.132 0.482 0.797
Au1 0.605 0.815 0.768
Cl6 0.614 0.538 0.719
Tl1 0.064 0.071 0.857
Tl2 0.492 0.574 0.310
```

| no. | E_tot (eV per atom) |
| --- | --- |
| 1 | -6.51 |
| 2 | -5.93 |
| 3 | -2.41 |
| 4 | -6.29 |
| 5 | -3.97 |
| 6 | -3.67 |